Here is crystalline ScCuPb2 at its relaxed geometry from the Alexandria database. Energies are from PBE.

Lattice parameters (Å, degrees): 7.8429 7.8429 6.3650 51.97 51.97 90.00
Last column: nearest neighbours and their distance in Å.
Fractional coordinates of all 8 atoms:
Pb  0.6687  0.1250  0.2500  2 Cu 2.66
Pb  0.0813  0.6250  0.2500  2 Cu 2.66
Pb  0.3750  0.3313  0.7500  2 Cu 2.66
Pb  0.8750  0.9187  0.7500  2 Cu 2.66
Sc  0.5000  0.5000  0.0000  2 Cu 3.12, 8 Pb 3.12-3.46
Sc  0.2500  0.7500  0.5000  2 Cu 3.12, 8 Pb 3.12-3.46
Cu  0.0000  0.0000  0.0000  4 Pb 2.66
Cu  0.7500  0.2500  0.5000  4 Pb 2.66

DFT total energy: -4.4152 eV/atom
E_form: 46 meV/atom



Here is crystalline AcY4Tm15 at its relaxed geometry from the Alexandria database. Energies are from PBE.

Lattice parameters (Å, degrees): 4.9923 4.9923 24.9798 90.00 90.00 90.00
Last column: nearest neighbours and their distance in Å.
Fractional coordinates of all 20 atoms:
Ac  0.0000  0.0000  0.0000  12 Tm 3.53-3.62
Y  0.0000  0.0000  0.2030  12 Tm 3.49-3.53
Y  0.0000  0.0000  0.4012  12 Tm 3.51-3.53
Y  0.0000  0.0000  0.5988  12 Tm 3.51-3.53
Y  0.0000  0.0000  0.7970  12 Tm 3.49-3.53
Tm  0.5000  0.5000  0.0000  4 Ac 3.53, 8 Tm 3.62
Tm  0.5000  0.5000  0.2039  8 Tm 3.50-3.51, 4 Y 3.53
Tm  0.5000  0.5000  0.4011  8 Tm 3.51, 4 Y 3.53
Tm  0.5000  0.5000  0.5989  8 Tm 3.51, 4 Y 3.53
Tm  0.5000  0.5000  0.7961  8 Tm 3.50-3.51, 4 Y 3.53
Tm  0.5000  0.0000  0.1051  2 Y 3.49, 8 Tm 3.51-3.62, 2 Ac 3.62
Tm  0.5000  0.0000  0.3023  8 Tm 3.50-3.53, 4 Y 3.51-3.52
Tm  0.5000  0.0000  0.5000  4 Y 3.51, 8 Tm 3.51-3.53
Tm  0.5000  0.0000  0.6977  8 Tm 3.50-3.53, 4 Y 3.51-3.52
Tm  0.5000  0.0000  0.8949  2 Y 3.49, 8 Tm 3.51-3.62, 2 Ac 3.62
Tm  0.0000  0.5000  0.1051  2 Y 3.49, 8 Tm 3.51-3.62, 2 Ac 3.62
Tm  0.0000  0.5000  0.3023  8 Tm 3.50-3.53, 4 Y 3.51-3.52
Tm  0.0000  0.5000  0.5000  4 Y 3.51, 8 Tm 3.51-3.53
Tm  0.0000  0.5000  0.6977  8 Tm 3.50-3.53, 4 Y 3.51-3.52
Tm  0.0000  0.5000  0.8949  2 Y 3.49, 8 Tm 3.51-3.62, 2 Ac 3.62

DFT total energy: -4.8112 eV/atom
E_form: 41 meV/atom



Here is crystalline CeCd4Pb at its relaxed geometry from the Alexandria database. Energies are from PBE.

Lattice parameters (Å, degrees): 5.1302 6.6292 9.6079 69.82 90.00 90.00
Last column: nearest neighbours and their distance in Å.
Fractional coordinates of all 12 atoms:
Ce  0.7500  0.1217  0.2566  2 Pb 3.31, 12 Cd 3.34-3.49
Ce  0.2500  0.8783  0.7434  2 Pb 3.31, 12 Cd 3.34-3.49
Cd  0.2500  0.8021  0.4149  4 Cd 2.99-3.19, 2 Ce 3.34
Cd  0.2500  0.9648  0.0821  4 Cd 2.96-3.24
Cd  0.7500  0.7170  0.5851  4 Cd 2.99-3.19, 2 Ce 3.34
Cd  0.7500  0.5470  0.9179  4 Cd 2.96-3.24
Cd  0.7500  0.1979  0.5851  4 Cd 2.99-3.19, 2 Ce 3.34
Cd  0.2500  0.2830  0.4149  4 Cd 2.99-3.19, 2 Ce 3.34
Cd  0.7500  0.0352  0.9179  4 Cd 2.96-3.24
Cd  0.2500  0.4530  0.0821  4 Cd 2.96-3.24
Pb  0.7500  0.6214  0.2572  2 Ce 3.31, 12 Cd 3.40-3.46
Pb  0.2500  0.3786  0.7428  2 Ce 3.31, 12 Cd 3.40-3.46

DFT total energy: -2.3955 eV/atom
E_form: -178 meV/atom



Here is crystalline Tl2SiSnAu6 at its relaxed geometry from the Alexandria database. Energies are from PBE.

Lattice parameters (Å, degrees): 6.9787 7.8522 8.7823 90.00 90.00 90.00
Last column: nearest neighbours and their distance in Å.
Fractional coordinates of all 20 atoms:
Tl  0.5000  0.6936  0.2424  7 Au 3.07-3.32
Tl  0.0000  0.3064  0.7424  7 Au 3.07-3.32
Tl  0.5000  0.6936  0.7576  7 Au 3.07-3.32
Tl  0.0000  0.3064  0.2576  7 Au 3.07-3.32
Si  0.5000  0.2263  0.5000  6 Au 2.43-2.49
Si  0.0000  0.7737  0.0000  6 Au 2.43-2.49
Sn  0.0000  0.7046  0.5000  4 Au 2.68-2.78
Sn  0.5000  0.2954  0.0000  4 Au 2.68-2.78
Au  0.5000  0.0848  0.2540  1 Si 2.43
Au  0.5000  0.0848  0.7460  1 Si 2.43
Au  0.0000  0.9152  0.2460  1 Si 2.43
Au  0.0000  0.9152  0.7540  1 Si 2.43
Au  0.2128  0.0428  0.5000  1 Si 2.47
Au  0.7872  0.0428  0.5000  1 Si 2.47
Au  0.2951  0.4860  0.5000  1 Si 2.49, 1 Sn 2.68
Au  0.7049  0.4860  0.5000  1 Si 2.49, 1 Sn 2.68
Au  0.7951  0.5140  0.0000  1 Si 2.49, 1 Sn 2.68
Au  0.2049  0.5140  0.0000  1 Si 2.49, 1 Sn 2.68
Au  0.2872  0.9572  0.0000  1 Si 2.47
Au  0.7128  0.9572  0.0000  1 Si 2.47

DFT total energy: -3.4315 eV/atom



Here is crystalline CsTl12Pb6 at its relaxed geometry from the Alexandria database. Energies are from PBE.

Lattice parameters (Å, degrees): 9.4728 9.4728 9.4728 109.47 109.47 109.47
Last column: nearest neighbours and their distance in Å.
Fractional coordinates of all 19 atoms:
Cs  0.0000  0.0000  0.0000  12 Tl 3.61
Tl  0.2663  0.0707  0.8045  1 Pb 3.11
Tl  0.2663  0.4618  0.1955  1 Pb 3.11
Tl  0.7337  0.5382  0.8045  1 Pb 3.11
Tl  0.7337  0.9293  0.1955  1 Pb 3.11
Tl  0.0707  0.8045  0.2663  1 Pb 3.11
Tl  0.4618  0.1955  0.2663  1 Pb 3.11
Tl  0.5382  0.8045  0.7337  1 Pb 3.11
Tl  0.9293  0.1955  0.7337  1 Pb 3.11
Tl  0.8045  0.2663  0.0707  1 Pb 3.11
Tl  0.1955  0.2663  0.4618  1 Pb 3.11
Tl  0.8045  0.7337  0.5382  1 Pb 3.11
Tl  0.1955  0.7337  0.9293  1 Pb 3.11
Pb  0.3577  0.5000  0.8577  2 Tl 3.11, 1 Pb 3.11
Pb  0.6423  0.5000  0.1423  2 Tl 3.11, 1 Pb 3.11
Pb  0.5000  0.8577  0.3577  2 Tl 3.11, 1 Pb 3.11
Pb  0.5000  0.1423  0.6423  2 Tl 3.11, 1 Pb 3.11
Pb  0.8577  0.3577  0.5000  2 Tl 3.11, 1 Pb 3.11
Pb  0.1423  0.6423  0.5000  2 Tl 3.11, 1 Pb 3.11

DFT total energy: -2.6180 eV/atom
E_form: 93 meV/atom



Here is crystalline CsK2Se at its relaxed geometry from the Alexandria database. Energies are from PBE.

Lattice parameters (Å, degrees): 5.2520 5.2520 10.6244 75.69 75.69 60.00
Last column: nearest neighbours and their distance in Å.
Fractional coordinates of all 4 atoms:
Cs  0.5000  0.5000  0.5000  6 K 4.93, 6 Cs 5.25
K  0.2941  0.2941  0.1177  3 Se 3.26
K  0.7059  0.7059  0.8823  3 Se 3.26
Se  0.0000  0.0000  0.0000  6 K 3.26

DFT total energy: -2.3297 eV/atom



Here is crystalline Hf2Os2I at its relaxed geometry from the Alexandria database. Energies are from PBE.

Lattice parameters (Å, degrees): 7.8158 7.8158 3.2432 90.00 90.00 90.00
Last column: nearest neighbours and their distance in Å.
Fractional coordinates of all 10 atoms:
I  0.0000  0.0000  0.0000  4 Os 3.04, 2 I 3.24, 8 Hf 3.39
I  0.5000  0.5000  0.0000  4 Os 3.04, 2 I 3.24, 8 Hf 3.39
Hf  0.1497  0.6497  0.5000  6 Os 2.76-2.87
Hf  0.6497  0.8503  0.5000  6 Os 2.76-2.87
Hf  0.8503  0.3503  0.5000  6 Os 2.76-2.87
Hf  0.3503  0.1497  0.5000  6 Os 2.76-2.87
Os  0.3644  0.8644  0.0000  6 Hf 2.76-2.87, 1 Os 3.00, 2 I 3.04
Os  0.8644  0.6356  0.0000  6 Hf 2.76-2.87, 1 Os 3.00, 2 I 3.04
Os  0.6356  0.1356  0.0000  6 Hf 2.76-2.87, 1 Os 3.00, 2 I 3.04
Os  0.1356  0.3644  0.0000  6 Hf 2.76-2.87, 1 Os 3.00, 2 I 3.04

DFT total energy: -8.7305 eV/atom



Here is crystalline AcY2Al at its relaxed geometry from the Alexandria database. Energies are from PBE.

Lattice parameters (Å, degrees): 5.0902 5.0902 6.6904 67.64 67.64 60.00
Last column: nearest neighbours and their distance in Å.
Fractional coordinates of all 4 atoms:
Ac  0.4919  0.4919  0.5242  4 Al 3.48-3.88, 7 Y 3.59-3.84
Y  0.0439  0.0439  0.8682  3 Al 2.97
Y  0.2790  0.2790  0.1631  3 Al 3.22, 3 Y 3.43
Al  0.6852  0.6852  0.9444  6 Y 2.97-3.22

DFT total energy: -5.1853 eV/atom
E_form: 9 meV/atom



- Look up the DFT total energy of the seventh one.
  -8.7305 eV/atom



- What is the DFT total energy in the eighth record?
  -5.1853 eV/atom



- Look up the DFT total energy of the third one.
  -2.3955 eV/atom